DFT (PBE) results for PrAgPd2 after structural relaxation.

```
data_PrAgPd2
_chemical_formula_sum 'Pr2 Ag2 Pd4'
_space_group_name_H-M_alt 'P m m n'
_space_group_IT_number 59
_cell_length_a 4.781
_cell_length_b 6.238
_cell_length_c 5.450
_cell_angle_alpha 90.00
_cell_angle_beta 90.00
_cell_angle_gamma 90.00
loop_
_space_group_symop_operation_xyz
'x,y,z'
'-x,-y,-z'
'-x+1/2,-y+1/2,z'
'x+1/2,y+1/2,-z'
'x+1/2,-y,-z'
'-x+1/2,y,z'
'-x,y+1/2,-z'
'x,-y+1/2,z'
loop_
_atom_site_label
_atom_site_fract_x
_atom_site_fract_y
_atom_site_fract_z
Pr1 0.250 0.250 0.166
Ag1 0.250 0.750 0.238
Pd1 0.250 0.016 0.663
```

Energy of formation in eV per atom: -0.5414
Spin magnetization in μB/f.u.: 0.0